# 1
{"formula": "NdLuCuRu", "functional": "GGA-PBE", "state": "optimized geometry", "sg": "F-43m", "n_ef_per_ev_fu": 3.4, "magnetic_moment_mub_per_fu": 0.00, "formation_enthalpy_0k_mev_per_atom": -265, "final_energy_ev_per_cell": -94.88, "lattice": [[6.917, 0.000, 0.000], [0.000, 6.917, 0.000], [0.000, 0.000, 6.917]], "species": ["Nd", "Nd", "Nd", "Nd", "Lu", "Lu", "Lu", "Lu", "Cu", "Cu", "Cu", "Cu", "Ru", "Ru", "Ru", "Ru"], "fractional_positions": [[0.000, 0.000, 0.000], [0.000, 0.500, 0.500], [0.500, 0.000, 0.500], [0.500, 0.500, 0.000], [0.000, 0.000, 0.500], [0.000, 0.500, 0.000], [0.500, 0.000, 0.000], [0.500, 0.500, 0.500], [0.250, 0.250, 0.750], [0.250, 0.750, 0.250], [0.750, 0.250, 0.250], [0.750, 0.750, 0.750], [0.250, 0.250, 0.250], [0.250, 0.750, 0.750], [0.750, 0.250, 0.750], [0.750, 0.750, 0.250]]}

=====

# 2
{"formula": "NdLuCuSn", "functional": "GGA-PBE", "state": "optimized geometry", "sg": "F-43m", "n_ef_per_ev_fu": 3.6, "magnetic_moment_mub_per_fu": 0.00, "formation_enthalpy_0k_mev_per_atom": -391, "final_energy_ev_per_cell": -75.81, "lattice": [[7.333, 0.000, 0.000], [0.000, 7.333, 0.000], [0.000, 0.000, 7.333]], "species": ["Nd", "Nd", "Nd", "Nd", "Lu", "Lu", "Lu", "Lu", "Cu", "Cu", "Cu", "Cu", "Sn", "Sn", "Sn", "Sn"], "fractional_positions": [[0.000, 0.000, 0.000], [0.000, 0.500, 0.500], [0.500, 0.000, 0.500], [0.500, 0.500, 0.000], [0.000, 0.000, 0.500], [0.000, 0.500, 0.000], [0.500, 0.000, 0.000], [0.500, 0.500, 0.500], [0.250, 0.250, 0.250], [0.250, 0.750, 0.750], [0.750, 0.250, 0.750], [0.750, 0.750, 0.250], [0.250, 0.250, 0.750], [0.250, 0.750, 0.250], [0.750, 0.250, 0.250], [0.750, 0.750, 0.750]]}

=====

# 3
{"formula": "NdLuZnCu", "functional": "GGA-PBE", "state": "optimized geometry", "sg": "F-43m", "n_ef_per_ev_fu": 2.0, "magnetic_moment_mub_per_fu": 0.00, "formation_enthalpy_0k_mev_per_atom": -255, "final_energy_ev_per_cell": -62.72, "lattice": [[7.091, 0.000, 0.000], [0.000, 7.091, 0.000], [0.000, 0.000, 7.091]], "species": ["Nd", "Nd", "Nd", "Nd", "Lu", "Lu", "Lu", "Lu", "Zn", "Zn", "Zn", "Zn", "Cu", "Cu", "Cu", "Cu"], "fractional_positions": [[0.000, 0.000, 0.000], [0.000, 0.500, 0.500], [0.500, 0.000, 0.500], [0.500, 0.500, 0.000], [0.000, 0.000, 0.500], [0.000, 0.500, 0.000], [0.500, 0.000, 0.000], [0.500, 0.500, 0.500], [0.250, 0.250, 0.750], [0.250, 0.750, 0.250], [0.750, 0.250, 0.250], [0.750, 0.750, 0.750], [0.250, 0.250, 0.250], [0.250, 0.750, 0.750], [0.750, 0.250, 0.750], [0.750, 0.750, 0.250]]}

=====

# 4
{"formula": "Lu2CuNi", "functional": "GGA-PBE", "state": "optimized geometry", "sg": "P4/mmm", "n_ef_per_ev_fu": 2.8, "magnetic_moment_mub_per_fu": 0.00, "formation_enthalpy_0k_mev_per_atom": -400, "final_energy_ev_per_cell": -20.52, "lattice": [[3.336, 0.000, 0.000], [0.000, 3.336, 0.000], [0.000, 0.000, 6.732]], "species": ["Lu", "Lu", "Cu", "Ni"], "fractional_positions": [[0.000, 0.000, 0.243], [0.000, 0.000, 0.757], [0.500, 0.500, 0.500], [0.500, 0.500, 0.000]]}